Density functional theory data (PBE) for a relaxed structure of Y4Cd2Pt.

Calculated values
Its density of states at the Fermi level is 0.799 states/eV/atom. The crystal system is trigonal. The value obtained for the formation enthalpy at 0 K is -407 meV/atom.

Cell lengths 5.1390, 5.1390, 25.1520 Å; angles 90.00, 90.00, 120.00 degrees
Space group R-3m (No. 166, hexagonal axes)
Symmetry-distinct sites (fractional):
Y 0.0000 0.0000 0.1210 x6
Y 0.0000 0.0000 0.3718 x6
Cd 0.0000 0.0000 0.2454 x6
Pt 0.0000 0.0000 0.0000 x3